Entry 1:
The following is a PBE calculation of a geometry-optimized ZnTcSb4 structure, from Alexandria via LeMat-Bulk.

For the total energy, the calculation gives -90.2 eV per cell. Its crystal system is cubic. For the total magnetization, the calculation gives 4.0 μB/f.u. The uncorrected formation energy comes out at 90 kJ per mole of atoms.

It has space group F-43m (No. 216), with a = 8.686 Å, b = 8.686 Å, c = 8.686 Å, α = 90.00°, β = 90.00° and γ = 90.00°. The asymmetric unit holds Zn at (0.000, 0.000, 0.000), Tc at (0.250, 0.250, 0.250) and Sb at (0.125, 0.125, 0.625).

Entry 2:
The following is a PBE calculation of a geometry-optimized Zn2TcSb structure, from Alexandria via LeMat-Bulk.

For the total energy, the calculation gives -31.8 eV per cell. Its crystal system is orthorhombic. For the total magnetization, the calculation gives 0.2 μB/f.u. The uncorrected formation energy comes out at 28 kJ per mole of atoms.

It has space group Cmmm (No. 65), with a = 5.288 Å, b = 7.884 Å, c = 3.274 Å, α = 90.00°, β = 90.00° and γ = 90.00°. The asymmetric unit holds Zn at (0.250, 0.250, 0.000), Tc at (0.000, 0.000, 0.500) and Sb at (0.000, 0.500, 0.500).

Entry 3:
The following is a PBE calculation of a geometry-optimized ZnTcSb2 structure, from Alexandria via LeMat-Bulk.

For the total energy, the calculation gives -36.7 eV per cell. Its crystal system is monoclinic. For the total magnetization, the calculation gives 0.0 μB/f.u. The uncorrected formation energy comes out at 37 kJ per mole of atoms.

It has space group C2/m (No. 12), with a = 5.974 Å, b = 7.602 Å, c = 3.404 Å, α = 90.00°, β = 90.24° and γ = 90.00°. The asymmetric unit holds Zn at (0.000, 0.000, 0.000), Tc at (0.000, 0.500, 0.000) and Sb at (0.250, 0.250, 0.500).

Entry 4:
The following is a PBE calculation of a geometry-optimized ZnTcSb2 structure, from Alexandria via LeMat-Bulk.

For the total energy, the calculation gives -38.3 eV per cell. Its crystal system is monoclinic. For the total magnetization, the calculation gives 0.0 μB/f.u. The uncorrected formation energy comes out at 18 kJ per mole of atoms.

It has space group Cm (No. 8), with a = 8.726 Å, b = 3.421 Å, c = 6.442 Å, α = 90.00°, β = 107.87° and γ = 90.00°. The asymmetric unit holds Zn at (0.000, 0.000, 0.000), Tc at (0.246, 0.500, 0.143), Sb at (0.229, 0.000, 0.803) and Sb at (0.493, 0.000, 0.348).

Entry 5:
The following is a PBE calculation of a geometry-optimized ZnTcSb2 structure, from Alexandria via LeMat-Bulk.

For the total energy, the calculation gives -37.5 eV per cell. Its crystal system is monoclinic. For the total magnetization, the calculation gives 0.0 μB/f.u. The uncorrected formation energy comes out at 28 kJ per mole of atoms.

It has space group C2/m (No. 12), with a = 8.782 Å, b = 3.391 Å, c = 5.447 Å, α = 90.00°, β = 98.23° and γ = 90.00°. The asymmetric unit holds Zn at (0.000, 0.000, 0.000), Tc at (0.000, 0.500, 0.500) and Sb at (0.227, 0.000, 0.729).

Entry 6:
The following is a PBE calculation of a geometry-optimized ZnTcSb2 structure, from Alexandria via LeMat-Bulk.

For the total energy, the calculation gives -18.2 eV per cell. Its crystal system is tetragonal. For the total magnetization, the calculation gives 0.0 μB/f.u. The uncorrected formation energy comes out at 40 kJ per mole of atoms.

It has space group P4/mmm (No. 123), with a = 4.739 Å, b = 4.739 Å, c = 3.439 Å, α = 90.00°, β = 90.00° and γ = 90.00°. The asymmetric unit holds Zn at (0.000, 0.000, 0.000), Tc at (0.500, 0.500, 0.000) and Sb at (0.000, 0.500, 0.500).